No. 1
The following is a PBEsol calculation of crystalline Sr3Sn2S7 at its relaxed geometry, from Alexandria.

Output
spin magnetization: 0.0 μB per formula unit
SG: Pbam (55)
ΔE_f (raw): -1506.9 kJ/mol of formula units

a b c (Å): 11.355 12.638 3.969
angles (deg): 90.00 90.00 90.00
Sites, in units of the cell vectors:
Sr: 0.000 0.000 0.000
Sr: 0.116 0.349 0.000
Sr: 0.384 0.849 0.000
Sr: 0.500 0.500 0.000
Sr: 0.616 0.151 0.000
Sr: 0.884 0.651 0.000
Sn: 0.216 0.606 0.500
Sn: 0.284 0.106 0.500
Sn: 0.716 0.894 0.500
Sn: 0.784 0.394 0.500
S: 0.000 0.500 0.500
S: 0.081 0.176 0.500
S: 0.147 0.707 0.000
S: 0.202 0.930 0.500
S: 0.298 0.430 0.500
S: 0.353 0.207 0.000
S: 0.419 0.676 0.500
S: 0.500 0.000 0.500
S: 0.581 0.324 0.500
S: 0.647 0.793 0.000
S: 0.702 0.570 0.500
S: 0.798 0.070 0.500
S: 0.853 0.293 0.000
S: 0.919 0.824 0.500

***

No. 2
The following is a PBEsol calculation of crystalline SrSnS3 at its relaxed geometry, from Alexandria.

Output
spin magnetization: 0.0 μB per formula unit
SG: Pnma (62)
ΔE_f (raw): -553.4 kJ/mol of formula units

a b c (Å): 8.114 3.865 14.108
angles (deg): 90.00 90.00 90.00
Sites, in units of the cell vectors:
Sr: 0.083 0.250 0.177
Sr: 0.417 0.750 0.677
Sr: 0.583 0.250 0.323
Sr: 0.917 0.750 0.823
Sn: 0.174 0.750 0.440
Sn: 0.326 0.250 0.940
Sn: 0.674 0.750 0.060
Sn: 0.826 0.250 0.560
S: 0.030 0.750 0.606
S: 0.146 0.750 0.003
S: 0.196 0.250 0.782
S: 0.304 0.750 0.282
S: 0.354 0.250 0.503
S: 0.470 0.250 0.106
S: 0.530 0.750 0.894
S: 0.646 0.750 0.497
S: 0.696 0.250 0.718
S: 0.804 0.750 0.218
S: 0.854 0.250 0.997
S: 0.970 0.250 0.394

***

No. 3
The following is a PBEsol calculation of crystalline TaSnS2 at its relaxed geometry, from Alexandria.

Output
spin magnetization: 0.0 μB per formula unit
SG: P6_3/mmc (194)
ΔE_f (raw): -356.7 kJ/mol of formula units

a b c (Å): 3.286 3.286 17.421
angles (deg): 90.00 90.00 120.00
Sites, in units of the cell vectors:
Ta: 0.333 0.667 0.250
Ta: 0.667 0.333 0.750
Sn: 0.000 0.000 0.000
Sn: 0.000 0.000 0.500
S: 0.000 0.000 0.161
S: 0.000 0.000 0.339
S: 0.000 0.000 0.661
S: 0.000 0.000 0.839

***

No. 4
The following is a PBEsol calculation of crystalline TaSn3S at its relaxed geometry, from Alexandria.

Output
spin magnetization: 1.9 μB per formula unit
SG: Pm-3m (221)
ΔE_f (raw): 328.9 kJ/mol of formula units

a b c (Å): 5.302 5.302 5.302
angles (deg): 90.00 90.00 90.00
Sites, in units of the cell vectors:
Ta: 0.000 0.000 0.000
Sn: 0.000 0.000 0.500
Sn: 0.000 0.500 0.000
Sn: 0.500 0.000 0.000
S: 0.500 0.500 0.500

***

No. 5
The following is a PBEsol calculation of crystalline Tb2SnS5 at its relaxed geometry, from Alexandria.

Output
spin magnetization: 0.0 μB per formula unit
SG: Pbam (55)
ΔE_f (raw): -1162.3 kJ/mol of formula units

a b c (Å): 7.617 11.258 3.773
angles (deg): 90.00 90.00 90.00
Sites, in units of the cell vectors:
Tb: 0.030 0.172 0.000
Tb: 0.470 0.672 0.000
Tb: 0.530 0.328 0.000
Tb: 0.970 0.828 0.000
Sn: 0.000 0.500 0.500
Sn: 0.500 0.000 0.500
S: 0.000 0.000 0.500
S: 0.172 0.402 0.000
S: 0.178 0.696 0.500
S: 0.322 0.196 0.500
S: 0.328 0.902 0.000
S: 0.500 0.500 0.500
S: 0.672 0.098 0.000
S: 0.678 0.804 0.500
S: 0.822 0.304 0.500
S: 0.828 0.598 0.000

***

No. 6
The following is a PBEsol calculation of crystalline TcSnS2 at its relaxed geometry, from Alexandria.

Output
spin magnetization: 0.6 μB per formula unit
SG: R-3m (166)
polymorph energy (0 for the lowest one): 0.000 eV per atom
ΔE_f (raw): -118.4 kJ/mol of formula units

a b c (Å): 8.772 8.772 8.772
angles (deg): 21.21 21.21 21.21
Sites, in units of the cell vectors:
Tc: 0.000 0.000 0.000
Sn: 0.500 0.500 0.500
S: 0.391 0.391 0.391
S: 0.609 0.609 0.609

***

No. 7
The following is a PBEsol calculation of crystalline TcSnS2 at its relaxed geometry, from Alexandria.

Output
spin magnetization: 0.0 μB per formula unit
SG: Fm-3m (225)
polymorph energy (0 for the lowest one): 0.513 eV per atom
ΔE_f (raw): 79.7 kJ/mol of formula units

a b c (Å): 4.470 4.470 4.470
angles (deg): 60.00 60.00 60.00
Sites, in units of the cell vectors:
Tc: 0.000 0.000 0.000
Sn: 0.500 0.500 0.500
S: 0.250 0.250 0.250
S: 0.750 0.750 0.750

***

No. 8
The following is a PBEsol calculation of crystalline SnTeS3 at its relaxed geometry, from Alexandria.

Output
spin magnetization: 0.0 μB per formula unit
SG: Pm-3m (221)
ΔE_f (raw): 198.9 kJ/mol of formula units

a b c (Å): 4.886 4.886 4.886
angles (deg): 90.00 90.00 90.00
Sites, in units of the cell vectors:
Sn: 0.000 0.000 0.000
Te: 0.500 0.500 0.500
S: 0.000 0.000 0.500
S: 0.000 0.500 0.000
S: 0.500 0.000 0.000

***

No. 9
The following is a PBEsol calculation of crystalline TiSn3S at its relaxed geometry, from Alexandria.

Output
spin magnetization: 2.0 μB per formula unit
SG: Pm-3m (221)
ΔE_f (raw): 275.8 kJ/mol of formula units

a b c (Å): 5.102 5.102 5.102
angles (deg): 90.00 90.00 90.00
Sites, in units of the cell vectors:
Ti: 0.000 0.000 0.000
Sn: 0.000 0.500 0.500
Sn: 0.500 0.000 0.500
Sn: 0.500 0.500 0.000
S: 0.500 0.500 0.500

***

No. 10
The following is a PBEsol calculation of crystalline Tl2SnS at its relaxed geometry, from Alexandria.

Output
spin magnetization: 0.0 μB per formula unit
SG: Fm-3m (225)
ΔE_f (raw): 37.8 kJ/mol of formula units

a b c (Å): 5.197 5.197 5.197
angles (deg): 60.00 60.00 60.00
Sites, in units of the cell vectors:
Tl: 0.250 0.250 0.250
Tl: 0.750 0.750 0.750
Sn: 0.000 0.000 0.000
S: 0.500 0.500 0.500

***

No. 11
The following is a PBEsol calculation of crystalline TlSn2S2 at its relaxed geometry, from Alexandria.

Output
spin magnetization: 0.0 μB per formula unit
SG: I4/mmm (139)
ΔE_f (raw): -104.1 kJ/mol of formula units

a b c (Å): 6.188 6.188 6.188
angles (deg): 130.41 130.41 72.76
Sites, in units of the cell vectors:
Tl: 0.000 0.000 0.000
Sn: 0.341 0.341 0.000
Sn: 0.659 0.659 0.000
S: 0.250 0.750 0.500
S: 0.750 0.250 0.500

***

No. 12
The following is a PBEsol calculation of crystalline Tl2Sn2S3 at its relaxed geometry, from Alexandria.

Output
spin magnetization: 0.0 μB per formula unit
SG: C2/c (15)
ΔE_f (raw): -267.7 kJ/mol of formula units

a b c (Å): 7.954 7.954 6.991
angles (deg): 103.77 103.77 58.61
Sites, in units of the cell vectors:
Tl: 0.006 0.224 0.017
Tl: 0.224 0.006 0.517
Tl: 0.776 0.994 0.483
Tl: 0.994 0.776 0.983
Sn: 0.242 0.515 0.533
Sn: 0.485 0.758 0.967
Sn: 0.515 0.242 0.033
Sn: 0.758 0.485 0.467
S: 0.185 0.355 0.806
S: 0.355 0.185 0.306
S: 0.411 0.589 0.250
S: 0.589 0.411 0.750
S: 0.645 0.815 0.694
S: 0.815 0.645 0.194

***

No. 13
The following is a PBEsol calculation of crystalline Tl2Sn2S5 at its relaxed geometry, from Alexandria.

Output
spin magnetization: 0.0 μB per formula unit
SG: C2/c (15)
ΔE_f (raw): -337.2 kJ/mol of formula units

a b c (Å): 6.720 6.720 11.369
angles (deg): 104.82 104.82 69.07
Sites, in units of the cell vectors:
Tl: 0.047 0.399 0.319
Tl: 0.399 0.047 0.819
Tl: 0.601 0.953 0.181
Tl: 0.953 0.601 0.681
Sn: 0.249 0.564 0.060
Sn: 0.436 0.751 0.440
Sn: 0.564 0.249 0.560
Sn: 0.751 0.436 0.940
S: 0.149 0.243 0.042
S: 0.168 0.832 0.250
S: 0.243 0.149 0.542
S: 0.346 0.625 0.880
S: 0.375 0.654 0.620
S: 0.625 0.346 0.380
S: 0.654 0.375 0.120
S: 0.757 0.851 0.458
S: 0.832 0.168 0.750
S: 0.851 0.757 0.958

***

No. 14
The following is a PBEsol calculation of crystalline Y2SnS2 at its relaxed geometry, from Alexandria.

Output
spin magnetization: 0.8 μB per formula unit
SG: I4/mmm (139)
ΔE_f (raw): -585.9 kJ/mol of formula units

a b c (Å): 7.175 7.175 7.175
angles (deg): 143.34 143.34 52.81
Sites, in units of the cell vectors:
Y: 0.144 0.144 0.000
Y: 0.856 0.856 0.000
Sn: 0.500 0.500 0.000
S: 0.250 0.750 0.500
S: 0.750 0.250 0.500

***

No. 15
The following is a PBEsol calculation of crystalline SrTa3S at its relaxed geometry, from Alexandria.

Output
spin magnetization: 0.0 μB per formula unit
SG: Pm-3m (221)
ΔE_f (raw): 218.2 kJ/mol of formula units

a b c (Å): 4.693 4.693 4.693
angles (deg): 90.00 90.00 90.00
Sites, in units of the cell vectors:
Sr: 0.000 0.000 0.000
Ta: 0.000 0.500 0.500
Ta: 0.500 0.000 0.500
Ta: 0.500 0.500 0.000
S: 0.500 0.500 0.500

***

No. 16
The following is a PBEsol calculation of crystalline SrTb2S4 at its relaxed geometry, from Alexandria.

Output
spin magnetization: 0.0 μB per formula unit
SG: Pnma (62)
ΔE_f (raw): -1460.8 kJ/mol of formula units

a b c (Å): 11.627 3.982 14.251
angles (deg): 90.00 90.00 90.00
Sites, in units of the cell vectors:
Sr: 0.250 0.250 0.160
Sr: 0.250 0.750 0.660
Sr: 0.750 0.250 0.340
Sr: 0.750 0.750 0.840
Tb: 0.072 0.250 0.896
Tb: 0.085 0.250 0.395
Tb: 0.415 0.750 0.895
Tb: 0.428 0.750 0.396
Tb: 0.572 0.250 0.604
Tb: 0.585 0.250 0.105
Tb: 0.915 0.750 0.605
Tb: 0.928 0.750 0.104
S: 0.010 0.750 0.783
S: 0.076 0.250 0.584
S: 0.140 0.750 0.019
S: 0.216 0.750 0.318
S: 0.284 0.250 0.818
S: 0.360 0.250 0.519
S: 0.424 0.750 0.084
S: 0.490 0.250 0.283
S: 0.510 0.750 0.717
S: 0.576 0.250 0.916
S: 0.640 0.750 0.481
S: 0.716 0.750 0.182
S: 0.784 0.250 0.682
S: 0.860 0.250 0.981
S: 0.924 0.750 0.416
S: 0.990 0.250 0.217

***

No. 17
The following is a PBEsol calculation of crystalline SrTm2S4 at its relaxed geometry, from Alexandria.

Output
spin magnetization: 0.0 μB per formula unit
SG: Pnma (62)
ΔE_f (raw): -1470.9 kJ/mol of formula units

a b c (Å): 11.757 3.898 14.043
angles (deg): 90.00 90.00 90.00
Sites, in units of the cell vectors:
Sr: 0.242 0.250 0.163
Sr: 0.258 0.750 0.663
Sr: 0.742 0.250 0.337
Sr: 0.758 0.750 0.837
Tm: 0.067 0.250 0.391
Tm: 0.080 0.250 0.900
Tm: 0.420 0.750 0.400
Tm: 0.433 0.750 0.891
Tm: 0.567 0.250 0.109
Tm: 0.580 0.250 0.600
Tm: 0.920 0.750 0.100
Tm: 0.933 0.750 0.609
S: 0.023 0.750 0.784
S: 0.086 0.250 0.579
S: 0.130 0.750 0.027
S: 0.207 0.750 0.328
S: 0.293 0.250 0.828
S: 0.370 0.250 0.527
S: 0.414 0.750 0.079
S: 0.477 0.250 0.284
S: 0.523 0.750 0.716
S: 0.586 0.250 0.921
S: 0.630 0.750 0.473
S: 0.707 0.750 0.172
S: 0.793 0.250 0.672
S: 0.870 0.250 0.973
S: 0.914 0.750 0.421
S: 0.977 0.250 0.216

***

No. 18
The following is a PBEsol calculation of crystalline SrY2S4 at its relaxed geometry, from Alexandria.

Output
spin magnetization: 0.0 μB per formula unit
SG: I-42d (122)
polymorph energy (0 for the lowest one): 0.033 eV per atom
ΔE_f (raw): -1453.5 kJ/mol of formula units

a b c (Å): 7.260 7.260 7.260
angles (deg): 109.35 109.35 109.71
Sites, in units of the cell vectors:
Sr: 0.000 0.000 0.000
Sr: 0.750 0.250 0.500
Y: 0.251 0.625 0.126
Y: 0.375 0.501 0.626
Y: 0.499 0.125 0.874
Y: 0.875 0.749 0.374
S: 0.138 0.733 0.747
S: 0.141 0.236 0.753
S: 0.267 0.014 0.405
S: 0.483 0.388 0.247
S: 0.609 0.862 0.595
S: 0.612 0.859 0.095
S: 0.764 0.517 0.905
S: 0.986 0.391 0.253

***

No. 19
The following is a PBEsol calculation of crystalline SrY2S4 at its relaxed geometry, from Alexandria.

Output
spin magnetization: 0.0 μB per formula unit
SG: Pnma (62)
polymorph energy (0 for the lowest one): 0.000 eV per atom
ΔE_f (raw): -1475.6 kJ/mol of formula units

a b c (Å): 11.779 3.953 14.199
angles (deg): 90.00 90.00 90.00
Sites, in units of the cell vectors:
Sr: 0.244 0.250 0.161
Sr: 0.256 0.750 0.661
Sr: 0.744 0.250 0.339
Sr: 0.756 0.750 0.839
Y: 0.073 0.250 0.392
Y: 0.078 0.250 0.898
Y: 0.422 0.750 0.398
Y: 0.427 0.750 0.892
Y: 0.573 0.250 0.108
Y: 0.578 0.250 0.602
Y: 0.922 0.750 0.102
Y: 0.927 0.750 0.608
S: 0.019 0.750 0.783
S: 0.083 0.250 0.581
S: 0.134 0.750 0.025
S: 0.210 0.750 0.323
S: 0.290 0.250 0.823
S: 0.366 0.250 0.525
S: 0.417 0.750 0.081
S: 0.481 0.250 0.283
S: 0.519 0.750 0.717
S: 0.583 0.250 0.919
S: 0.634 0.750 0.475
S: 0.710 0.750 0.177
S: 0.790 0.250 0.677
S: 0.866 0.250 0.975
S: 0.917 0.750 0.419
S: 0.981 0.250 0.217

***

No. 20
The following is a PBEsol calculation of crystalline SrZnS2 at its relaxed geometry, from Alexandria.

Output
spin magnetization: 0.0 μB per formula unit
SG: R-3m (166)
ΔE_f (raw): -155.5 kJ/mol of formula units

a b c (Å): 8.252 8.252 8.252
angles (deg): 26.81 26.81 26.81
Sites, in units of the cell vectors:
Sr: 0.000 0.000 0.000
Zn: 0.500 0.500 0.500
S: 0.115 0.115 0.115
S: 0.885 0.885 0.885

***

| no. | total energy (eV for the cell shown) |
| --- | --- |
| 1 | -120.69 |
| 2 | -99.95 |
| 3 | -58.55 |
| 4 | -26.30 |
| 5 | -96.49 |
| 6 | -25.52 |
| 7 | -23.47 |
| 8 | -18.88 |
| 9 | -22.63 |
| 10 | -13.51 |
| 11 | -21.00 |
| 12 | -59.41 |
| 13 | -78.39 |
| 14 | -32.74 |
| 15 | -41.62 |
| 16 | -178.15 |
| 17 | -177.68 |
| 18 | -96.17 |
| 19 | -193.26 |
| 20 | -13.80 |